La2ErMgTe5: relaxed, PBE.

Cell: 4.4109 9.8194 13.5674 Å, 90.00 90.00 102.98°
Closest atoms and distances in Å follow each position.
Fractional coordinates of all 18 atoms:
La  0.8681  0.7363  0.8072  8 Te 3.30-3.58
La  0.1129  0.2259  0.6831  8 Te 3.30-3.52
La  0.1319  0.2637  0.3072  8 Te 3.30-3.58
La  0.8871  0.7741  0.1831  8 Te 3.30-3.52
Er  0.7961  0.5923  0.5137  6 Te 3.04-3.11
Er  0.2039  0.4077  0.0137  6 Te 3.04-3.11
Mg  0.5558  0.1115  0.9535  4 Te 2.70-2.91
Mg  0.4442  0.8885  0.4535  4 Te 2.70-2.91
Te  0.3622  0.7244  0.9999  1 Er 3.04, 2 La 3.36
Te  0.6902  0.3805  0.8533  1 Mg 2.91, 2 Er 3.11
Te  0.4959  0.9919  0.7735  1 Mg 2.70
Te  0.2849  0.5698  0.6691  2 Er 3.06, 3 La 3.30
Te  0.9504  0.9008  0.5706  2 Mg 2.72
Te  0.6378  0.2756  0.4999  1 Er 3.04, 2 La 3.36
Te  0.3098  0.6195  0.3533  1 Mg 2.91, 2 Er 3.11
Te  0.5041  0.0081  0.2735  1 Mg 2.70
Te  0.7151  0.4302  0.1691  2 Er 3.06, 3 La 3.30
Te  0.0496  0.0992  0.0706  2 Mg 2.72

Output
Density (g/cm³): 6.42
M_tot (μB per atom): 0.000
Formation energy without anion corrections (eV per atom): -1.345